No. 1
This record from Alexandria describes Sc2AlAu at its PBEsol-relaxed geometry. The functional is meta-GGA SCAN.

a = 5.3740 Å, b = 5.3740 Å, c = 5.3740 Å
α = 135.63°, β = 135.63°, γ = 64.55°
Positions (direct):
Sc1 0.0000 0.0000 0.0000
Sc2 0.7500 0.2500 0.5000
Al1 0.5000 0.5000 0.0000
Au1 0.2500 0.7500 0.5000

Formation energy from the elements in eV/atom: -0.605
SG: No. 119
Crystal system: tetragonal
Final energy in Ry/atom: -1.9809


No. 2
This record from Alexandria describes Sc2AlAu at its PBEsol-relaxed geometry. The functional is meta-GGA SCAN.

a = 4.6877 Å, b = 4.6877 Å, c = 4.6877 Å
α = 60.00°, β = 60.00°, γ = 60.00°
Positions (direct):
Sc1 0.0000 0.0000 0.0000
Sc2 0.2500 0.2500 0.2500
Al1 0.5000 0.5000 0.5000
Au1 0.7500 0.7500 0.7500

Formation energy from the elements in eV/atom: -0.476
SG: No. 216
Crystal system: cubic
Final energy in Ry/atom: -1.9714


No. 3
This record from Alexandria describes ScAlAu2 at its PBEsol-relaxed geometry. The functional is meta-GGA SCAN.

a = 4.8741 Å, b = 4.8741 Å, c = 4.5736 Å
α = 104.66°, β = 104.66°, γ = 42.66°
Positions (direct):
Sc1 0.0000 0.0000 0.0000
Al1 0.7640 0.7640 0.3459
Au1 0.2560 0.2560 0.8014
Au2 0.4956 0.4956 0.4812

Formation energy from the elements in eV/atom: -0.762
SG: No. 8
Crystal system: monoclinic
Final energy in Ry/atom: -3.0015


No. 4
This record from Alexandria describes ScAl2Au at its PBEsol-relaxed geometry. The functional is meta-GGA SCAN.

a = 5.2469 Å, b = 5.2469 Å, c = 5.2469 Å
α = 134.89°, β = 134.89°, γ = 65.70°
Positions (direct):
Sc1 0.0000 0.0000 0.0000
Al1 0.2500 0.7500 0.5000
Al2 0.7500 0.2500 0.5000
Au1 0.5000 0.5000 0.0000

Formation energy from the elements in eV/atom: -0.433
SG: No. 139
Crystal system: tetragonal
Final energy in Ry/atom: -1.8491


No. 5
This record from Alexandria describes Sc2AlAu at its PBEsol-relaxed geometry. The functional is meta-GGA SCAN.

a = 4.7537 Å, b = 4.7537 Å, c = 3.3625 Å
α = 90.00°, β = 90.00°, γ = 95.28°
Positions (direct):
Sc1 0.0000 0.5000 0.0000
Sc2 0.5000 0.0000 0.0000
Al1 0.0000 0.0000 0.5000
Au1 0.5000 0.5000 0.5000

Formation energy from the elements in eV/atom: -0.749
SG: No. 65
Crystal system: orthorhombic
Final energy in Ry/atom: -1.9914


No. 6
This record from Alexandria describes ScAlAu2 at its PBEsol-relaxed geometry. The functional is meta-GGA SCAN.

a = 3.1178 Å, b = 4.5900 Å, c = 5.1381 Å
α = 90.00°, β = 90.00°, γ = 90.00°
Positions (direct):
Sc1 0.0000 0.0000 0.0000
Al1 0.5000 0.5000 0.3013
Au1 0.5000 0.0000 0.5010
Au2 0.5000 0.5000 0.8134

Formation energy from the elements in eV/atom: -0.783
SG: No. 25
Crystal system: orthorhombic
Final energy in Ry/atom: -3.0031


No. 7
This record from Alexandria describes ScAl2Au at its PBEsol-relaxed geometry. The functional is meta-GGA SCAN.

a = 4.0903 Å, b = 4.0903 Å, c = 4.0399 Å
α = 90.00°, β = 90.00°, γ = 90.00°
Positions (direct):
Sc1 0.0000 0.0000 0.0000
Al1 0.0000 0.5000 0.5000
Al2 0.5000 0.0000 0.5000
Au1 0.5000 0.5000 0.0000

Formation energy from the elements in eV/atom: -0.726
SG: No. 123
Crystal system: tetragonal
Final energy in Ry/atom: -1.8705


No. 8
This record from Alexandria describes ScAl3Au at its PBEsol-relaxed geometry. The functional is meta-GGA SCAN.

a = 5.0597 Å, b = 5.0597 Å, c = 5.0597 Å
α = 90.00°, β = 90.00°, γ = 90.00°
Positions (direct):
Sc1 0.0000 0.0000 0.0000
Al1 0.0000 0.0000 0.5000
Al2 0.0000 0.5000 0.0000
Al3 0.5000 0.0000 0.0000
Au1 0.5000 0.5000 0.5000

Formation energy from the elements in eV/atom: 1.251
SG: No. 221
Crystal system: cubic
Final energy in Ry/atom: -1.4758